DFT (PBE) results for an optimized crystal structure of La4SiAsBr2.

Unit cell a=4.3622 b=7.5684 c=7.7666 alpha=108.89 beta=90.00 gamma=90.00
Fractional coordinates of all 8 atoms:
As1 0.5000 0.5000 0.0000
La1 0.5000 0.7661 0.7841
La2 0.5000 0.2339 0.2159
La3 0.0000 0.7436 0.2160
La4 0.0000 0.2564 0.7840
Br1 0.5000 0.0000 0.5000
Br2 0.0000 0.5000 0.5000
Si1 0.0000 0.0000 0.0000

Calculated values
ΔE_f (raw) ... -131 kJ per mole of atoms
Density ... 5.6 g/cm³
Space-group type ... P2/m


DFT (PBE) results for an optimized crystal structure of LuScHg2.

Unit cell a=3.5862 b=3.5862 c=7.1674 alpha=90.00 beta=90.00 gamma=90.00
Fractional coordinates of all 4 atoms:
Hg1 0.0000 0.0000 0.2389
Hg2 0.0000 0.0000 0.7611
Lu1 0.5000 0.5000 0.5000
Sc1 0.5000 0.5000 0.0000

Calculated values
Density ... 11.2 g/cm³
Formation energy ... -171 kJ/mol of formula units
Space-group type ... P4/mmm


DFT (PBE) results for an optimized crystal structure of Nd2Y5Tm.

Unit cell a=5.0652 b=7.1782 c=14.3570 alpha=90.00 beta=90.00 gamma=90.00
Fractional coordinates of all 16 atoms:
Nd1 0.5000 0.2477 0.6243
Nd2 0.5000 0.7477 0.8757
Nd3 0.5000 0.7523 0.3757
Nd4 0.5000 0.2523 0.1243
Y1 0.5000 0.7490 0.6246
Y2 0.0000 0.0018 0.2508
Y3 0.5000 0.7510 0.1246
Y4 0.5000 0.2510 0.3754
Y5 0.0000 0.5000 0.5000
Y6 0.0000 0.0000 0.0000
Y7 0.5000 0.2490 0.8754
Y8 0.0000 0.4982 0.7508
Y9 0.0000 0.5018 0.2492
Y10 0.0000 0.9982 0.7492
Tm1 0.0000 0.0000 0.5000
Tm2 0.0000 0.5000 0.0000

Calculated values
Density ... 5.7 g/cm³
Formation energy ... 17 kJ/mol of formula units
Space-group type ... Pbam


DFT (PBE) results for an optimized crystal structure of NaCd2GaIr.

Unit cell a=5.2651 b=5.2651 c=4.7680 alpha=90.00 beta=90.00 gamma=90.00
Fractional coordinates of all 5 atoms:
Cd1 0.5000 0.0000 0.0000
Cd2 0.0000 0.5000 0.0000
Ir1 0.0000 0.0000 0.0000
Na1 0.5000 0.5000 0.5000
Ga1 0.0000 0.0000 0.5000

Calculated values
Density ... 6.4 g/cm³
Formation energy ... -52 kJ/mol of formula units
Space-group type ... P4/mmm


DFT (PBE) results for an optimized crystal structure of KSb2As.

Unit cell a=5.4041 b=5.4041 c=5.4041 alpha=60.00 beta=60.00 gamma=60.00
Fractional coordinates of all 4 atoms:
Sb1 0.2500 0.2500 0.2500
Sb2 0.0000 0.0000 0.0000
K1 0.7500 0.7500 0.7500
As1 0.5000 0.5000 0.5000

Calculated values
ΔE_f (raw) ... 16 kJ per mole of atoms
Density ... 5.3 g/cm³
Space-group type ... F-43m


DFT (PBE) results for an optimized crystal structure of La2MgTlPt.

Unit cell a=5.6164 b=5.6164 c=5.0940 alpha=90.00 beta=90.00 gamma=90.00
Fractional coordinates of all 5 atoms:
Tl1 0.5000 0.5000 0.5000
Mg1 0.0000 0.0000 0.5000
La1 0.0000 0.5000 0.0000
La2 0.5000 0.0000 0.0000
Pt1 0.0000 0.0000 0.0000

Calculated values
Density ... 7.3 g/cm³
Formation energy ... -255 kJ/mol of formula units
Space-group type ... P4/mmm


What did the fourth record say?
DFT (PBE) results for an optimized crystal structure of NaCd2GaIr.

Unit cell a=5.2651 b=5.2651 c=4.7680 alpha=90.00 beta=90.00 gamma=90.00
Fractional coordinates of all 5 atoms:
Cd1 0.5000 0.0000 0.0000
Cd2 0.0000 0.5000 0.0000
Ir1 0.0000 0.0000 0.0000
Na1 0.5000 0.5000 0.5000
Ga1 0.0000 0.0000 0.5000

Calculated values
Density ... 6.4 g/cm³
Formation energy ... -52 kJ/mol of formula units
Space-group type ... P4/mmm


density of number 5 (KSb2As)?
5.3 g/cm³


density of number 3 (Nd2Y5Tm)?
5.7 g/cm³


Which formula does entry 2 have?
LuScHg2